1.
Sm5Tl2Os: relaxed, PBE.

Output
- magnetic moment (μB per atom) = 0.000
- energy of formation (kJ/mol of formula units) = 52.6
- E_tot (eV per atom) = -4.877
- excess energy over the best structure of this formula in the dataset (meV/atom) = 350

a b c (Å): 5.6452 8.8552 12.5475
angles (deg): 90.00 90.00 108.59
Fractional positions:
Tl (0.8754, 0.7509, 0.3685)
Sm (0.0680, 0.1360, 0.1030)
Sm (0.9320, 0.8640, 0.8970)
Os (0.1844, 0.3687, 0.2500)
Tl (0.8754, 0.7509, 0.1315)
Sm (0.3009, 0.6018, 0.7500)
Sm (0.7072, 0.4145, 0.9230)
Tl (0.1246, 0.2491, 0.6315)
Sm (0.6991, 0.3982, 0.2500)
Sm (0.7072, 0.4145, 0.5770)
Sm (0.2928, 0.5855, 0.4230)
Sm (0.9320, 0.8640, 0.6030)
Sm (0.0680, 0.1360, 0.3970)
Sm (0.2928, 0.5855, 0.0770)
Os (0.8156, 0.6313, 0.7500)
Tl (0.1246, 0.2491, 0.8685)


2.
MnReGe3: relaxed, PBE.

Output
- magnetic moment (μB per atom) = 0.850
- energy of formation (kJ/mol of formula units) = 335.3
- E_tot (eV per atom) = -6.399
- excess energy over the best structure of this formula in the dataset (meV/atom) = 0

a b c (Å): 4.8433 4.8433 4.8433
angles (deg): 90.00 90.00 90.00
Last column: magnetic moment on the atom in μB.
Fractional positions:
Ge (0.5000, 0.0000, 0.0000)  -0.03
Mn (0.5000, 0.5000, 0.5000)  4.26
Ge (0.0000, 0.0000, 0.5000)  -0.09
Ge (0.0000, 0.5000, 0.0000)  -0.05
Re (0.0000, 0.0000, 0.0000)  0.04